Entry 1:
## Mn2CdHPd (PBE-GGA)

Data for a relaxed Mn2CdHPd crystal.

Values from the calculation:
E_tot   -27.7 eV for the cell shown

```
Mn2CdHPd
1.0
4.026 0.000 0.000
0.000 4.026 0.000
0.000 0.000 4.014
Mn Cd H Pd
2 1 1 1
Cartesian
0.000 2.013 0.000 Mn
2.013 0.000 0.000 Mn
0.000 0.000 2.007 Cd
2.013 2.013 0.000 H
2.013 2.013 2.007 Pd
```

Entry 2:
## MnCdHPt2 (PBE-GGA)

Data for a relaxed MnCdHPt2 crystal.

Values from the calculation:
E_tot   -26.3 eV for the cell shown

```
MnCdHPt2
1.0
4.079 0.000 0.000
0.000 4.079 0.000
0.000 0.000 4.074
Mn Cd H Pt
1 1 1 2
Cartesian
0.000 0.000 0.000 Mn
2.039 2.039 0.000 Cd
0.000 0.000 2.037 H
0.000 2.039 2.037 Pt
2.039 0.000 2.037 Pt
```

Entry 3:
## Rb2MnCdH6 (PBE-GGA)

Data for a relaxed Rb2MnCdH6 crystal.

Values from the calculation:
E_tot   -32.4 eV for the cell shown

```
Rb2MnCdH6
1.0
4.315 -4.315 0.000
4.315 4.315 0.000
-4.313 0.000 4.325
Rb Mn Cd H
2 1 1 6
Cartesian
4.315 2.157 0.000 Rb
4.315 -2.157 0.000 Rb
-2.154 0.000 2.181 Mn
2.161 0.000 2.181 Cd
2.151 2.633 2.108 H
-0.470 0.000 2.111 H
-2.163 0.000 3.878 H
2.151 -2.633 2.108 H
4.795 0.000 2.110 H
6.464 0.000 0.506 H
```

Entry 4:
## RbMnCdH6 (PBE-GGA)

Data for a relaxed RbMnCdH6 crystal.

Values from the calculation:
E_tot   -31.4 eV for the cell shown

```
RbMnCdH6
1.0
4.879 0.000 0.000
-2.439 4.225 0.000
0.000 0.000 5.555
Rb Mn Cd H
1 1 1 6
Cartesian
0.000 0.000 0.000 Rb
2.439 1.408 2.777 Mn
0.000 2.817 2.777 Cd
2.439 0.280 1.602 H
2.439 0.280 3.953 H
1.462 1.973 1.602 H
1.462 1.973 3.953 H
3.417 1.973 1.602 H
3.417 1.973 3.953 H
```

Entry 5:
## Mn2CdHRh (PBE-GGA)

Data for a relaxed Mn2CdHRh crystal.

Values from the calculation:
E_tot   -29.9 eV for the cell shown

```
Mn2CdHRh
1.0
4.156 0.000 0.000
0.000 4.156 0.000
0.000 0.000 3.775
Mn Cd H Rh
2 1 1 1
Cartesian
0.000 2.078 0.000 Mn
2.078 0.000 0.000 Mn
0.000 0.000 1.888 Cd
2.078 2.078 0.000 H
2.078 2.078 1.888 Rh
```

Entry 6:
## MnCdHRh2 (PBE-GGA)

Data for a relaxed MnCdHRh2 crystal.

Values from the calculation:
E_tot   -28.6 eV for the cell shown

```
MnCdHRh2
1.0
4.066 0.000 0.000
0.000 4.066 0.000
0.000 0.000 3.872
Mn Cd H Rh
1 1 1 2
Cartesian
0.000 0.000 0.000 Mn
2.033 2.033 0.000 Cd
0.000 0.000 1.936 H
0.000 2.033 1.936 Rh
2.033 0.000 1.936 Rh
```

Entry 7:
## Mn2CdSnH (PBE-GGA)

Data for a relaxed Mn2CdSnH crystal.

Values from the calculation:
E_tot   -25.0 eV for the cell shown

```
Mn2CdSnH
1.0
4.119 0.000 0.000
0.000 4.119 0.000
0.000 0.000 4.543
Mn Cd Sn H
2 1 1 1
Cartesian
0.000 2.059 0.000 Mn
2.059 0.000 0.000 Mn
0.000 0.000 2.272 Cd
2.059 2.059 2.272 Sn
2.059 2.059 0.000 H
```

Entry 8:
## Y2MnCdH (PBE-GGA)

Data for a relaxed Y2MnCdH crystal.

Values from the calculation:
E_tot   -27.2 eV for the cell shown

```
Y2MnCdH
1.0
5.081 0.000 0.000
0.000 5.081 0.000
0.000 0.000 3.773
Y Mn Cd H
2 1 1 1
Cartesian
0.000 2.540 0.000 Y
2.540 0.000 0.000 Y
0.000 0.000 1.887 Mn
2.540 2.540 1.887 Cd
0.000 0.000 0.000 H
```

Entry 9:
## Zr2MnCdH (PBE-GGA)

Data for a relaxed Zr2MnCdH crystal.

Values from the calculation:
E_tot   -30.9 eV for the cell shown

```
Zr2MnCdH
1.0
4.632 0.000 0.000
0.000 4.632 0.000
0.000 0.000 3.699
Zr Mn Cd H
2 1 1 1
Cartesian
0.000 2.316 0.000 Zr
2.316 0.000 0.000 Zr
0.000 0.000 1.849 Mn
2.316 2.316 1.849 Cd
0.000 0.000 0.000 H
```

Entry 10:
## CdMo2H (PBE-GGA)

Data for a relaxed CdMo2H crystal.

Values from the calculation:
Energy above the most stable polymorph in this dataset   0.673 eV/atom

```
CdMo2H
1.0
0.000 3.100 3.100
3.100 0.000 3.100
3.100 3.100 0.000
Cd Mo H
1 2 1
Cartesian
0.000 0.000 0.000 Cd
1.550 1.550 1.550 Mo
4.650 4.650 4.650 Mo
3.100 3.100 3.100 H
```

Entry 11:
## CdMoH2 (PBE-GGA)

Data for a relaxed CdMoH2 crystal.

Values from the calculation:
Energy above the most stable polymorph in this dataset   0.715 eV/atom

```
CdMoH2
1.0
0.000 2.798 2.798
2.798 0.000 2.798
2.798 2.798 0.000
Cd Mo H
1 1 2
Cartesian
0.000 0.000 0.000 Cd
2.798 2.798 2.798 Mo
1.399 1.399 1.399 H
4.197 4.197 4.197 H
```

Entry 12:
## CdMoH3 (PBE-GGA)

Data for a relaxed CdMoH3 crystal.

Values from the calculation:
Energy above the most stable polymorph in this dataset   0.000 eV/atom

```
CdMoH3
1.0
3.618 0.000 0.000
0.000 3.618 0.000
0.000 0.000 3.618
Cd Mo H
1 1 3
Cartesian
0.000 0.000 0.000 Cd
1.809 1.809 1.809 Mo
0.000 1.809 1.809 H
1.809 0.000 1.809 H
1.809 1.809 0.000 H
```